Entry 1:
# Ta3CCl

A relaxed structure of Ta3CCl (GGA-PBEsol, Alexandria).

Summary:
E in eV/cell: -38.6
Raw formation energy in meV/atom: 2149

Cell and atoms, written as POSCAR:
```
Ta3CCl
1.0
4.4198 0.0000 0.0000
0.0000 4.4198 0.0000
0.0000 0.0000 4.4198
Ta C Cl
3 1 1
Direct
0.0000 0.0000 0.5000
0.0000 0.5000 0.0000
0.5000 0.0000 0.0000
0.5000 0.5000 0.5000
0.0000 0.0000 0.0000
```


Entry 2:
# ZrTaCCl2

A relaxed structure of ZrTaCCl2 (GGA-PBEsol, Alexandria).

Summary:
E in eV/cell: -27.3
Raw formation energy in meV/atom: 1610

Cell and atoms, written as POSCAR:
```
ZrTaCCl2
1.0
4.6364 0.0000 0.0000
0.0000 4.6364 0.0000
0.0000 0.0000 5.6219
Zr Ta C Cl
1 1 1 2
Direct
0.0000 0.0000 0.0000
0.0000 0.0000 0.5000
0.5000 0.5000 0.5000
0.0000 0.5000 0.0000
0.5000 0.0000 0.0000
```


Entry 3:
# TiCCl2

A relaxed structure of TiCCl2 (GGA-PBEsol, Alexandria).

Summary:
E in eV/cell: -17.2
Raw formation energy in meV/atom: 1198

Cell and atoms, written as POSCAR:
```
TiCCl2
1.0
1.5524 0.8963 7.6555
-1.5524 0.8963 7.6555
0.0000 -1.7926 7.6555
Ti C Cl
1 1 2
Direct
0.0000 0.0000 0.0000
0.5000 0.5000 0.5000
0.0991 0.0991 0.0991
0.9009 0.9009 0.9009
```


Entry 4:
# YCCl2

A relaxed structure of YCCl2 (GGA-PBEsol, Alexandria).

Summary:
E in eV/cell: -16.7
Raw formation energy in meV/atom: 938

Cell and atoms, written as POSCAR:
```
YCCl2
1.0
1.8313 1.0573 7.6934
-1.8313 1.0573 7.6934
0.0000 -2.1146 7.6934
Y C Cl
1 1 2
Direct
0.0000 0.0000 0.0000
0.5000 0.5000 0.5000
0.1111 0.1111 0.1111
0.8889 0.8889 0.8889
```


Entry 5:
# YC2Cl

A relaxed structure of YC2Cl (GGA-PBEsol, Alexandria).

Summary:
E in eV/cell: -46.4
Raw formation energy in meV/atom: 1230

Cell and atoms, written as POSCAR:
```
YC2Cl
1.0
-1.7241 1.7241 10.6518
1.7241 -1.7241 10.6518
1.7241 1.7241 -10.6518
Y C Cl
2 4 2
Direct
0.3750 0.6250 0.7500
0.6250 0.3750 0.2500
0.0000 0.0000 0.0000
0.0000 0.0000 0.5000
0.0000 0.5000 0.0000
0.5000 0.0000 0.5000
0.1250 0.8750 0.2500
0.8750 0.1250 0.7500
```


Entry 6:
# Y2CCl

A relaxed structure of Y2CCl (GGA-PBEsol, Alexandria).

Summary:
E in eV/cell: -27.0
Raw formation energy in meV/atom: -437

Cell and atoms, written as POSCAR:
```
Y2CCl
1.0
0.0000 3.2187 3.2187
3.2187 0.0000 3.2187
3.2187 3.2187 0.0000
Y C Cl
2 1 1
Direct
0.2500 0.2500 0.2500
0.7500 0.7500 0.7500
0.0000 0.0000 0.0000
0.5000 0.5000 0.5000
```


Entry 7:
# YC3Cl

A relaxed structure of YC3Cl (GGA-PBEsol, Alexandria).

Summary:
E in eV/cell: -22.7
Raw formation energy in meV/atom: 3022

Cell and atoms, written as POSCAR:
```
YC3Cl
1.0
4.6204 0.0000 0.0000
0.0000 4.6204 0.0000
0.0000 0.0000 4.6204
Y C Cl
1 3 1
Direct
0.0000 0.0000 0.0000
0.0000 0.0000 0.5000
0.0000 0.5000 0.0000
0.5000 0.0000 0.0000
0.5000 0.5000 0.5000
```


Entry 8:
# ZnCCl2

A relaxed structure of ZnCCl2 (GGA-PBEsol, Alexandria).

Summary:
E in eV/cell: -21.0
Raw formation energy in meV/atom: 1188

Cell and atoms, written as POSCAR:
```
ZnCCl2
1.0
-3.2437 3.2437 3.0471
3.2437 -3.2437 3.0471
3.2437 3.2437 -3.0471
Zn C Cl
2 2 4
Direct
0.0000 0.0000 0.0000
0.7500 0.2500 0.5000
0.2500 0.7500 0.5000
0.5000 0.5000 0.0000
0.1274 0.1250 0.5024
0.3750 0.8726 0.9976
0.6226 0.6250 0.4976
0.8750 0.3774 0.0024
```


The lowest raw formation energy belongs to which entry?
Y2CCl


Which formula does entry 7 have?
YC3Cl


Repeat the third record exactly.
# TiCCl2

A relaxed structure of TiCCl2 (GGA-PBEsol, Alexandria).

Summary:
E in eV/cell: -17.2
Raw formation energy in meV/atom: 1198

Cell and atoms, written as POSCAR:
```
TiCCl2
1.0
1.5524 0.8963 7.6555
-1.5524 0.8963 7.6555
0.0000 -1.7926 7.6555
Ti C Cl
1 1 2
Direct
0.0000 0.0000 0.0000
0.5000 0.5000 0.5000
0.0991 0.0991 0.0991
0.9009 0.9009 0.9009
```